The following is a PBE calculation of a relaxed structure of Ta2NiOs, from Alexandria via LeMat-Bulk.

Geometry as extended XYZ:
```
4
Lattice="4.817 0.007 -0.015 3.864 2.875 -0.015 0.972 0.323 4.519" Properties=species:S:1:pos:R:3 pbc="T T T"
Ni 4.782 1.588 2.155
Os 7.336 2.436 3.392
Ta 1.002 0.333 4.393
Ta 2.330 0.773 1.313
```

- Magnetic moment: 0.0 μB per cell
- Offset from the most stable computed form: 0.486 eV per formula unit
- Energy of formation from the pure elements: -0.129 eV/atom
- Calculated volume: 15.626 A^3/atom